# Li7FeO5F

An optimized crystal structure of Li7FeO5F (PBE+U, the Alexandria database).

Lattice parameters (Å, degrees): 5.4857 5.5245 5.6651 90.29 117.96 116.66
Closest atoms and distances in Å follow each position.
Atoms (fractional coordinates):
Li  0.0000  0.0000  0.0000  4 O 1.92-2.05
Li  0.0390  0.2489  0.6575  3 O 1.92-2.08, 1 F 1.98
Li  0.1291  0.4156  0.2876  3 O 2.00-2.18
Li  0.2662  0.7039  0.9922  4 O 1.95-2.01
Li  0.4284  0.8849  0.6399  2 O 1.90-1.97, 1 F 1.94
Li  0.5696  0.2607  0.0146  3 O 1.90-2.05, 1 F 1.97
Li  0.7108  0.5245  0.6884  1 F 1.85, 3 O 1.92-1.97
Fe  0.7885  0.7303  0.3089  5 O 1.89-2.02
O  0.0182  0.5790  0.5755  4 Li 1.92-2.01, 1 Fe 1.93
O  0.3399  0.3942  0.0874  5 Li 1.90-2.08, 1 Fe 2.02
O  0.7090  0.9927  0.1023  3 Li 1.92-1.98, 1 Fe 1.94
O  0.7243  0.8551  0.5744  1 Fe 1.89, 4 Li 1.90-2.05
O  0.9454  0.6494  0.0973  1 Fe 1.92, 5 Li 1.95-2.05
F  0.3457  0.1932  0.6085  4 Li 1.85-1.98

Values from the calculation:
As for the space group: P1. As for the energy above the most stable polymorph in this dataset: 11 meV per atom.